The following is a DFT calculation (PBE) of an optimized crystal structure of Fe2HgRh.

The structure belongs to space group I-42d (No. 122); the cell edges are 7.063, 7.063 and 5.355 Å and the angles 90.00°, 90.00° and 90.00°. The asymmetric unit holds Fe at (0.220, 0.250, 0.125), Hg at (0.000, 0.000, 0.500) and Rh at (0.000, 0.000, 0.000).

Its electronic total energy is -5.595 eV per atom. The calculation puts the formation energy from the elements at 53.05 kJ per mole of atoms.

=====

The following is a DFT calculation (PBE) of an optimized crystal structure of ScP3Cl.

The structure belongs to space group Pm-3m (No. 221); the cell edges are 4.957, 4.957 and 4.957 Å and the angles 90.00°, 90.00° and 90.00°. The asymmetric unit holds Sc at (0.000, 0.000, 0.000), P at (0.000, 0.000, 0.500) and Cl at (0.500, 0.500, 0.500).

For the energy relative to the lowest polymorph listed for this composition, the calculation gives 0.00 eV/f.u. Its electronic total energy is -4.326 eV per atom.

=====

The following is a DFT calculation (PBE) of an optimized crystal structure of CuRePb.

The structure belongs to space group F-43m (No. 216); the cell edges are 6.323, 6.323 and 6.323 Å and the angles 90.00°, 90.00° and 90.00°. The asymmetric unit holds Cu at (0.000, 0.000, 0.000), Re at (0.250, 0.250, 0.250) and Pb at (0.000, 0.000, 0.500).

For the energy relative to the lowest polymorph listed for this composition, the calculation gives 0.87 eV/f.u. Its electronic total energy is -5.588 eV per atom. The calculation puts the formation energy from the elements at 112.24 kJ per mole of atoms.

=====

Q: What is the formula in the third record?
A: CuRePb

=====

Q: Number 1 is which compound?
A: Fe2HgRh

=====

Q: Which value of electronic total energy does entry 2 give?
A: -4.326 eV per atom

=====

What did the third record say?
The following is a DFT calculation (PBE) of an optimized crystal structure of CuRePb.

The structure belongs to space group F-43m (No. 216); the cell edges are 6.323, 6.323 and 6.323 Å and the angles 90.00°, 90.00° and 90.00°. The asymmetric unit holds Cu at (0.000, 0.000, 0.000), Re at (0.250, 0.250, 0.250) and Pb at (0.000, 0.000, 0.500).

For the energy relative to the lowest polymorph listed for this composition, the calculation gives 0.87 eV/f.u. Its electronic total energy is -5.588 eV per atom. The calculation puts the formation energy from the elements at 112.24 kJ per mole of atoms.